6
Lattice="0.000 4.427 4.427 4.427 0.000 4.427 4.427 4.427 0.000" Properties=species:S:1:pos:R:3 comment="PBE-GGA BeCrBr4, optimized geometry" vol_a3_per_atom=28.9 n_ef_per_ev_cell=6.04 formation_energy_uncorrected_kj_per_mol_atoms=107.42 space_group="F-43m (216)" e_tot_ry_per_atom=-0.164 magmom_total_mub_per_fu=3.22 pbc="T T T"
Be 0.000 0.000 0.000
Cr 2.214 2.214 2.214
Br 5.536 3.319 3.319
Br 3.319 5.536 3.319
Br 3.319 3.319 5.536
Br 5.536 5.536 5.536

***

4
Lattice="3.882 0.000 0.000 0.000 3.269 0.000 -0.914 0.000 9.006" Properties=species:S:1:pos:R:3 comment="PBE-GGA CuHgCl2, optimized geometry" vol_a3_per_atom=28.6 n_ef_per_ev_cell=1.59 formation_energy_uncorrected_kj_per_mol_atoms=-35.74 e_above_lowest_polymorph_ev_per_fu=0.00 space_group="P2/m (10)" e_tot_ry_per_atom=-0.176 magmom_total_mub_per_fu=0.81 pbc="T T T"
Cu 0.000 0.000 0.000
Hg 1.484 0.000 4.503
Cl -0.315 1.634 7.532
Cl 3.283 1.634 1.475

***

7
Lattice="8.743 -1.750 0.000 8.743 1.750 0.000 -4.171 0.000 7.460" Properties=species:S:1:pos:R:3 comment="PBE-GGA Sm2Y3Tm2, optimized geometry" vol_a3_per_atom=32.6 n_ef_per_ev_cell=11.29 e_above_lowest_polymorph_ev_per_fu=0.00 formation_energy_ev_per_fu=0.9 space_group="C2/m (12)" e_tot_ry_per_atom=-0.387 magmom_total_mub_per_fu=0.00 pbc="T T T"
Sm 0.235 0.000 1.635
Sm 13.080 0.000 5.825
Y 3.477 0.000 2.793
Y 6.658 0.000 3.730
Y 9.838 0.000 4.667
Tm 6.001 0.000 0.243
Tm 7.314 0.000 7.217

***

5
Lattice="4.766 0.000 0.000 0.000 4.766 0.000 0.000 0.000 5.152" Properties=species:S:1:pos:R:3 comment="PBE-GGA CaNb2GaSi, optimized geometry" vol_a3_per_atom=23.4 n_ef_per_ev_cell=5.30 formation_energy_uncorrected_kj_per_mol_atoms=50.36 space_group="P4/mmm (123)" e_tot_ry_per_atom=-0.411 magmom_total_mub_per_fu=0.00 pbc="T T T"
Ca 0.000 0.000 0.000
Nb 0.000 2.383 2.576
Nb 2.383 0.000 2.576
Ga 2.383 2.383 0.000
Si 0.000 0.000 2.576

***

6
Lattice="5.324 0.000 0.000 -2.455 4.800 0.000 -0.107 -0.408 11.514" Properties=species:S:1:pos:R:3 comment="PBE-GGA CsBiTe, optimized geometry" vol_a3_per_atom=49.0 n_ef_per_ev_cell=2.74 formation_energy_uncorrected_kj_per_mol_atoms=-43.51 e_above_lowest_polymorph_ev_per_fu=0.08 space_group="P1 (1)" e_tot_ry_per_atom=-0.226 magmom_total_mub_per_fu=0.00 pbc="T T T"
Cs 0.000 0.000 0.000
Cs -0.014 -0.003 6.193
Bi 0.107 3.218 3.105
Bi 2.738 1.585 3.093
Te 0.319 3.184 8.606
Te 2.420 1.215 9.106

***

7
Lattice="4.544 0.000 0.000 0.000 4.544 0.000 0.000 0.000 10.582" Properties=species:S:1:pos:R:3 comment="PBE-GGA Ac2ZnSb4, optimized geometry" vol_a3_per_atom=31.2 n_ef_per_ev_cell=3.91 formation_energy_uncorrected_kj_per_mol_atoms=-72.39 space_group="P-4m2 (115)" e_tot_ry_per_atom=-0.328 magmom_total_mub_per_fu=0.00 pbc="T T T"
Ac 0.000 2.272 2.616
Ac 2.272 0.000 7.966
Zn 2.272 2.272 0.000
Sb 0.000 0.000 5.291
Sb 0.000 2.272 9.078
Sb 2.272 0.000 1.504
Sb 2.272 2.272 5.291

***

4
Lattice="4.570 -1.555 0.000 4.570 1.555 0.000 -2.987 0.000 6.030" Properties=species:S:1:pos:R:3 comment="PBE-GGA SiAg2Sb, optimized geometry" vol_a3_per_atom=21.4 n_ef_per_ev_cell=1.10 formation_energy_uncorrected_kj_per_mol_atoms=23.54 e_above_lowest_polymorph_ev_per_fu=0.00 space_group="Cm (8)" e_tot_ry_per_atom=-0.262 magmom_total_mub_per_fu=0.00 pbc="T T T"
Si 0.000 0.000 0.000
Ag -0.451 0.000 5.486
Ag 2.301 0.000 3.800
Sb 4.787 0.000 2.373

***

5
Lattice="4.649 0.000 0.000 0.000 4.649 0.000 0.000 0.000 4.649" Properties=species:S:1:pos:R:3 comment="PBE-GGA HfV3Au, optimized geometry" vol_a3_per_atom=20.1 n_ef_per_ev_cell=6.43 e_above_lowest_polymorph_ev_per_fu=1.12 formation_energy_ev_per_fu=8.0 space_group="Pm-3m (221)" e_tot_ry_per_atom=-0.479 magmom_total_mub_per_fu=3.48 pbc="T T T"
Hf 0.000 0.000 0.000
V 0.000 0.000 2.324
V 0.000 2.324 0.000
V 2.324 0.000 0.000
Au 2.324 2.324 2.324